[1]
# NiHPt3

NiHPt3 after structural relaxation (GGA-PBE, Alexandria via LeMat-Bulk).

a = 4.5735 Å, b = 4.5735 Å, c = 4.5735 Å
α = 90.00°, β = 90.00°, γ = 90.00°
Closest atoms and distances in Å follow each position.
Positions (direct):
1 Ni 0.0000 0.0000 0.0000  6 Pt 2.29
2 H 0.5000 0.5000 0.5000  12 Pt 3.23
3 Pt 0.0000 0.0000 0.5000  2 Ni 2.29
4 Pt 0.0000 0.5000 0.0000  2 Ni 2.29
5 Pt 0.5000 0.0000 0.0000  2 Ni 2.29

Computed properties:
ΔE to the lowest computed polymorph	1518	meV/atom
SG	Pm-3m

[2]
# Ni2H4Pt

Ni2H4Pt after structural relaxation (GGA-PBE, Alexandria via LeMat-Bulk).

a = 5.1216 Å, b = 5.1597 Å, c = 5.2705 Å
α = 89.70°, β = 61.61°, γ = 60.38°
Closest atoms and distances in Å follow each position.
Positions (direct):
1 Ni 0.0000 0.0000 0.0000  6 H 1.72-1.74
2 Ni 0.0000 0.0000 0.5000  6 H 1.77-1.78
3 Ni 0.5000 0.0000 0.0000  6 H 1.72-1.75
4 Ni 0.5000 0.5000 0.0000  6 H 1.73-1.75
5 H 0.0342 0.2069 0.2288  3 Ni 1.74-1.77, 1 Pt 1.80
6 H 0.0339 0.7590 0.2308  3 Ni 1.74-1.78, 1 Pt 1.80
7 H 0.4604 0.7713 0.8028  3 Ni 1.72-1.73, 1 Pt 1.81
8 H 0.4709 0.7641 0.2356  3 Ni 1.74-1.78, 1 Pt 1.80
9 H 0.5291 0.2359 0.7644  3 Ni 1.74-1.78, 1 Pt 1.80
10 H 0.5396 0.2287 0.1972  3 Ni 1.72-1.73, 1 Pt 1.81
11 H 0.9661 0.2410 0.7692  3 Ni 1.74-1.78, 1 Pt 1.80
12 H 0.9658 0.7931 0.7712  3 Ni 1.74-1.77, 1 Pt 1.80
13 Pt 0.2587 0.3746 0.6058  4 H 1.80-1.81
14 Pt 0.7413 0.6254 0.3942  4 H 1.80-1.81

Computed properties:
energy	-0.3235	Ry/atom
SG	P-1

[3]
# NiHPt4

NiHPt4 after structural relaxation (GGA-PBE, Alexandria via LeMat-Bulk).

a = 7.1441 Å, b = 7.1441 Å, c = 5.4136 Å
α = 90.08°, β = 90.08°, γ = 139.75°
Closest atoms and distances in Å follow each position.
Positions (direct):
1 Ni 0.1646 0.8354 0.7500  6 Pt 2.49-2.59, 2 H 2.73
2 Ni 0.8354 0.1646 0.2500  6 Pt 2.49-2.59, 2 H 2.73
3 H 0.4236 0.5764 0.2500  2 Pt 1.73
4 H 0.5764 0.4236 0.7500  2 Pt 1.73
5 Pt 0.0692 0.4250 0.6715  2 Ni 2.49-2.59, 4 Pt 2.58-2.71
6 Pt 0.2405 0.2512 0.3832  1 H 1.73
7 Pt 0.2512 0.2405 0.8832  1 H 1.73
8 Pt 0.4250 0.0692 0.1715  2 Ni 2.49-2.59, 4 Pt 2.58-2.71
9 Pt 0.5750 0.9308 0.8285  2 Ni 2.49-2.59, 4 Pt 2.58-2.71
10 Pt 0.7488 0.7595 0.1168  1 H 1.73
11 Pt 0.7595 0.7488 0.6168  1 H 1.73
12 Pt 0.9308 0.5750 0.3285  2 Ni 2.49-2.59, 4 Pt 2.58-2.71

Computed properties:
energy	-0.3906	Ry/atom
SG	C2/c

[4]
# Ni4H2Pt

Ni4H2Pt after structural relaxation (GGA-PBE, Alexandria via LeMat-Bulk).

a = 6.4642 Å, b = 6.4642 Å, c = 4.2232 Å
α = 105.39°, β = 105.39°, γ = 23.06°
Closest atoms and distances in Å follow each position.
Positions (direct):
1 Ni 0.1104 0.1104 0.0872  2 H 1.79
2 Ni 0.3129 0.3129 0.3436  3 H 1.81-1.85
3 Ni 0.6871 0.6871 0.6564  3 H 1.81-1.85
4 Ni 0.8896 0.8896 0.9128  2 H 1.79
5 H 0.2914 0.2914 0.7593  5 Ni 1.79-1.85
6 H 0.7086 0.7086 0.2407  5 Ni 1.79-1.85
7 Pt 0.0000 0.0000 0.5000  8 Ni 2.50-2.62, 2 Pt 2.58

Computed properties:
energy	-0.3720	Ry/atom
SG	C2/m

[5]
# NiH4Pt2

NiH4Pt2 after structural relaxation (GGA-PBE, Alexandria via LeMat-Bulk).

a = 11.7566 Å, b = 11.7566 Å, c = 11.7566 Å
α = 13.24°, β = 13.24°, γ = 13.24°
Closest atoms and distances in Å follow each position.
Positions (direct):
1 Ni 0.0000 0.0000 0.0000  6 H 1.73
2 H 0.1001 0.1001 0.1001  3 Pt 1.85
3 H 0.3541 0.3541 0.3541  3 Ni 1.73
4 H 0.6459 0.6459 0.6459  3 Ni 1.73
5 H 0.8999 0.8999 0.8999  3 Pt 1.85
6 Pt 0.2049 0.2049 0.2049  3 H 1.85
7 Pt 0.7951 0.7951 0.7951  3 H 1.85

Computed properties:
energy	-0.3231	Ry/atom
SG	R-3m

[6]
# NiH4Pt

NiH4Pt after structural relaxation (GGA-PBE, Alexandria via LeMat-Bulk).

a = 5.9779 Å, b = 5.9779 Å, c = 5.0244 Å
α = 102.12°, β = 102.12°, γ = 130.28°
Closest atoms and distances in Å follow each position.
Positions (direct):
1 Ni 0.0000 0.0000 0.2500  4 H 1.68
2 Ni 0.0000 0.0000 0.7500  4 H 1.68
3 H 0.1156 0.3585 0.8944  1 Ni 1.68, 1 Pt 1.69
4 H 0.1164 0.3586 0.3440  1 Ni 1.68, 1 Pt 1.69
5 H 0.3585 0.1156 0.3944  1 Ni 1.68, 1 Pt 1.69
6 H 0.3586 0.1164 0.8440  1 Ni 1.68, 1 Pt 1.69
7 H 0.6414 0.8836 0.1560  1 Ni 1.68, 1 Pt 1.69
8 H 0.6415 0.8844 0.6056  1 Ni 1.68, 1 Pt 1.69
9 H 0.8836 0.6414 0.6560  1 Ni 1.68, 1 Pt 1.69
10 H 0.8844 0.6415 0.1056  1 Ni 1.68, 1 Pt 1.69
11 Pt 0.4281 0.5719 0.2500  4 H 1.69
12 Pt 0.5719 0.4281 0.7500  4 H 1.69

Computed properties:
energy	-0.3025	Ry/atom
SG	C2/c

[7]
# NiHPt3

NiHPt3 after structural relaxation (GGA-PBE, Alexandria via LeMat-Bulk).

a = 3.9314 Å, b = 5.6003 Å, c = 5.6140 Å
α = 90.36°, β = 90.03°, γ = 90.02°
Closest atoms and distances in Å follow each position.
Positions (direct):
1 Ni 0.0000 0.0000 0.0000  1 H 2.21
2 Ni 0.0004 0.4901 0.4888  1 H 1.85
3 H 0.4880 0.4446 0.9907  4 Pt 1.82-2.03
4 H 0.9847 0.7472 0.6967  1 Ni 1.85, 3 Pt 1.85-2.04
5 Pt 0.0006 0.0005 0.4874  1 H 1.85
6 Pt 0.4992 0.7484 0.7420  2 H 1.93-2.04
7 Pt 0.5004 0.2430 0.2503  1 H 1.85
8 Pt 0.5000 0.7511 0.2455  1 H 2.23
9 Pt 0.5008 0.2409 0.7379  1 H 1.82
10 Pt 0.9991 0.4974 0.0004  2 H 1.95-2.03

Computed properties:
ΔE to the lowest computed polymorph	0	meV/atom
SG	P1

[8]
# Ni4HPt2

Ni4HPt2 after structural relaxation (GGA-PBE, Alexandria via LeMat-Bulk).

a = 6.7147 Å, b = 6.7147 Å, c = 6.7147 Å
α = 148.81°, β = 148.81°, γ = 44.69°
Closest atoms and distances in Å follow each position.
Positions (direct):
1 Ni 0.0000 0.5000 0.5000  2 H 1.81
2 Ni 0.1461 0.1461 0.0000  1 H 1.82
3 Ni 0.5000 0.0000 0.5000  2 H 1.81
4 Ni 0.8539 0.8539 0.0000  1 H 1.82
5 H 0.0000 0.0000 0.0000  6 Ni 1.81-1.82
6 Pt 0.3434 0.3434 0.0000  9 Ni 2.45-2.65
7 Pt 0.6566 0.6566 0.0000  9 Ni 2.45-2.65

Computed properties:
energy	-0.3978	Ry/atom
SG	I4/mmm

[9]
# Ni6HPt2

Ni6HPt2 after structural relaxation (GGA-PBE, Alexandria via LeMat-Bulk).

a = 6.1163 Å, b = 2.6660 Å, c = 6.1431 Å
α = 90.00°, β = 92.24°, γ = 90.00°
Closest atoms and distances in Å follow each position.
Positions (direct):
1 Ni 0.0376 0.0000 0.2002  8 Ni 2.48-2.67, 4 Pt 2.65-2.68
2 Ni 0.2821 0.5000 0.9648  2 H 1.89
3 Ni 0.4585 0.0000 0.2772  1 H 1.73
4 Ni 0.5415 0.0000 0.7228  1 H 1.73
5 Ni 0.7179 0.5000 0.0352  2 H 1.89
6 Ni 0.9624 0.0000 0.7998  8 Ni 2.48-2.67, 4 Pt 2.65-2.68
7 H 0.5000 0.0000 0.0000  6 Ni 1.73-1.89
8 Pt 0.2196 0.5000 0.5388  9 Ni 2.58-2.68, 3 Pt 2.67-2.71
9 Pt 0.7804 0.5000 0.4612  9 Ni 2.58-2.68, 3 Pt 2.67-2.71

Computed properties:
energy	-0.4102	Ry/atom
SG	P2/m

[10]
# Ni2H2Pt

Ni2H2Pt after structural relaxation (GGA-PBE, Alexandria via LeMat-Bulk).

a = 4.5558 Å, b = 4.5558 Å, c = 4.5558 Å
α = 133.24°, β = 133.24°, γ = 68.28°
Closest atoms and distances in Å follow each position.
Positions (direct):
1 Ni 0.2500 0.7500 0.5000  4 H 1.81
2 Ni 0.7500 0.2500 0.5000  4 H 1.81
3 H 0.2479 0.2479 0.0000  4 Ni 1.81, 1 Pt 1.90
4 H 0.7521 0.7521 0.0000  4 Ni 1.81, 1 Pt 1.90
5 Pt 0.5000 0.5000 0.0000  2 H 1.90

Computed properties:
ΔE to the lowest computed polymorph	141	meV/atom
SG	I4/mmm

[11]
# Ni2H2Pt

Ni2H2Pt after structural relaxation (GGA-PBE, Alexandria via LeMat-Bulk).

a = 4.9564 Å, b = 4.9564 Å, c = 4.9564 Å
α = 110.01°, β = 110.01°, γ = 108.40°
Closest atoms and distances in Å follow each position.
Positions (direct):
1 Ni 0.1669 0.6669 0.8338  3 H 1.66-1.69
2 Ni 0.3331 0.1669 0.5000  3 H 1.66-1.69
3 Ni 0.6669 0.8331 0.5000  3 H 1.66-1.69
4 Ni 0.8331 0.3331 0.1662  3 H 1.66-1.69
5 H 0.1225 0.3775 0.5000  3 Ni 1.66-1.69
6 H 0.3775 0.8775 0.2549  3 Ni 1.66-1.69
7 H 0.6225 0.1225 0.7451  3 Ni 1.66-1.69
8 H 0.8775 0.6225 0.5000  3 Ni 1.66-1.69
9 Pt 0.2500 0.2500 0.0000  8 Ni 2.57, 8 H 2.68
10 Pt 0.7500 0.7500 0.0000  8 Ni 2.57, 8 H 2.68

Computed properties:
ΔE to the lowest computed polymorph	130	meV/atom
SG	I4/mcm

What did the second record say?
# Ni2H4Pt

Ni2H4Pt after structural relaxation (GGA-PBE, Alexandria via LeMat-Bulk).

a = 5.1216 Å, b = 5.1597 Å, c = 5.2705 Å
α = 89.70°, β = 61.61°, γ = 60.38°
Closest atoms and distances in Å follow each position.
Positions (direct):
1 Ni 0.0000 0.0000 0.0000  6 H 1.72-1.74
2 Ni 0.0000 0.0000 0.5000  6 H 1.77-1.78
3 Ni 0.5000 0.0000 0.0000  6 H 1.72-1.75
4 Ni 0.5000 0.5000 0.0000  6 H 1.73-1.75
5 H 0.0342 0.2069 0.2288  3 Ni 1.74-1.77, 1 Pt 1.80
6 H 0.0339 0.7590 0.2308  3 Ni 1.74-1.78, 1 Pt 1.80
7 H 0.4604 0.7713 0.8028  3 Ni 1.72-1.73, 1 Pt 1.81
8 H 0.4709 0.7641 0.2356  3 Ni 1.74-1.78, 1 Pt 1.80
9 H 0.5291 0.2359 0.7644  3 Ni 1.74-1.78, 1 Pt 1.80
10 H 0.5396 0.2287 0.1972  3 Ni 1.72-1.73, 1 Pt 1.81
11 H 0.9661 0.2410 0.7692  3 Ni 1.74-1.78, 1 Pt 1.80
12 H 0.9658 0.7931 0.7712  3 Ni 1.74-1.77, 1 Pt 1.80
13 Pt 0.2587 0.3746 0.6058  4 H 1.80-1.81
14 Pt 0.7413 0.6254 0.3942  4 H 1.80-1.81

Computed properties:
energy	-0.3235	Ry/atom
SG	P-1

Please write out number 9 again, unchanged.
# Ni6HPt2

Ni6HPt2 after structural relaxation (GGA-PBE, Alexandria via LeMat-Bulk).

a = 6.1163 Å, b = 2.6660 Å, c = 6.1431 Å
α = 90.00°, β = 92.24°, γ = 90.00°
Closest atoms and distances in Å follow each position.
Positions (direct):
1 Ni 0.0376 0.0000 0.2002  8 Ni 2.48-2.67, 4 Pt 2.65-2.68
2 Ni 0.2821 0.5000 0.9648  2 H 1.89
3 Ni 0.4585 0.0000 0.2772  1 H 1.73
4 Ni 0.5415 0.0000 0.7228  1 H 1.73
5 Ni 0.7179 0.5000 0.0352  2 H 1.89
6 Ni 0.9624 0.0000 0.7998  8 Ni 2.48-2.67, 4 Pt 2.65-2.68
7 H 0.5000 0.0000 0.0000  6 Ni 1.73-1.89
8 Pt 0.2196 0.5000 0.5388  9 Ni 2.58-2.68, 3 Pt 2.67-2.71
9 Pt 0.7804 0.5000 0.4612  9 Ni 2.58-2.68, 3 Pt 2.67-2.71

Computed properties:
energy	-0.4102	Ry/atom
SG	P2/m